No. 1
A plane-wave DFT calculation with PBE was carried out for Sc2CdPt after structural relaxation.

a = 6.6738 Å, b = 6.6738 Å, c = 6.6738 Å
α = 90.00°, β = 90.00°, γ = 90.00°
Space group F-43m (No. 216)
Symmetry-distinct sites (fractional):
Sc (0.0000, 0.0000, 0.0000)
Sc (0.2500, 0.2500, 0.2500)
Cd (0.2500, 0.2500, 0.7500)
Pt (0.0000, 0.0000, 0.5000)

## Properties
E	-5.5159	eV/atom
total magnetic moment	0.00	μB per formula unit



No. 2
A plane-wave DFT calculation with PBE was carried out for ScCdPt after structural relaxation.

a = 6.4303 Å, b = 6.4303 Å, c = 6.4303 Å
α = 90.00°, β = 90.00°, γ = 90.00°
Space group F-43m (No. 216)
Symmetry-distinct sites (fractional):
Sc (0.0000, 0.0000, 0.0000)
Cd (0.2500, 0.2500, 0.7500)
Pt (0.2500, 0.2500, 0.2500)

## Properties
E	-4.7417	eV/atom
total magnetic moment	0.00	μB per formula unit



No. 3
A plane-wave DFT calculation with PBE was carried out for Sc5CdPt4 after structural relaxation.

a = 3.3344 Å, b = 3.3344 Å, c = 16.9113 Å
α = 90.00°, β = 90.00°, γ = 90.00°
Space group P4/mmm (No. 123)
Symmetry-distinct sites (fractional):
Sc (0.0000, 0.0000, 0.0000)
Sc (0.0000, 0.0000, 0.1915)
Sc (0.0000, 0.0000, 0.3819)
Cd (0.5000, 0.5000, 0.5000)
Pt (0.5000, 0.5000, 0.0967)
Pt (0.5000, 0.5000, 0.2908)

## Properties
E	-6.7278	eV/atom
total magnetic moment	0.01	μB per formula unit



No. 4
A plane-wave DFT calculation with PBE was carried out for CdSi2Pt after structural relaxation.

a = 6.4565 Å, b = 6.4565 Å, c = 6.4565 Å
α = 90.00°, β = 90.00°, γ = 90.00°
Space group F-43m (No. 216)
Symmetry-distinct sites (fractional):
Cd (0.0000, 0.0000, 0.0000)
Si (0.0000, 0.0000, 0.5000)
Si (0.2500, 0.2500, 0.2500)
Pt (0.2500, 0.2500, 0.7500)

## Properties
E	-4.1854	eV/atom
total magnetic moment	0.00	μB per formula unit